(1)
Here is BaCd2Au at its PBEsol-relaxed geometry from Alexandria. Energies are from SCAN.

Geometry as POSCAR:
```
BaCd2Au
1.0
4.836 0.001 0.004
2.419 4.188 0.004
2.423 1.399 5.537
Ba Au Cd
1 1 2
direct
0.242 0.242 0.272 Ba
0.443 0.443 0.672 Au
0.041 0.041 0.878 Cd
0.767 0.767 0.699 Cd
```

Calculated values
The crystal system is monoclinic. As for the space-group type: Cm. As for the total energy: -42.88 eV per atom. The value obtained for the energy of formation from the pure elements is -1.99 eV per formula unit.

***

(2)
Here is Li3Pt at its PBEsol-relaxed geometry from Alexandria. Energies are from SCAN.

Geometry as POSCAR:
```
Li3Pt
1.0
2.768 0.000 0.000
-1.384 2.397 0.000
0.000 0.000 9.337
Li Pt
3 1
direct
0.000 0.000 0.000 Li
0.333 0.667 0.280 Li
0.333 0.667 0.720 Li
0.000 0.000 0.500 Pt
```

Calculated values
The crystal system is hexagonal. The calculation puts the distance to the lowest polymorph of the same formula at 171 meV per atom. As for the space-group type: P-6m2. As for the total energy: -19.66 eV per atom. The value obtained for the energy of formation from the pure elements is -1.27 eV per formula unit.

***

(3)
Here is Ba2La2TlCu2O9 at its PBEsol-relaxed geometry from Alexandria. Energies are from SCAN.

Geometry as POSCAR:
```
Ba2La2TlCu2O9
1.0
3.780 0.000 0.000
0.000 3.780 0.000
-1.890 -1.890 15.925
Ba La Cu O Tl
2 2 2 9 1
direct
0.417 0.417 0.833 Ba
0.583 0.583 0.167 Ba
0.704 0.704 0.409 La
0.296 0.296 0.591 La
0.150 0.150 0.300 Cu
0.850 0.850 0.700 Cu
0.152 0.652 0.305 O
0.778 0.778 0.557 O
0.848 0.348 0.695 O
0.500 0.500 0.000 O
0.066 0.066 0.131 O
0.348 0.848 0.695 O
0.222 0.222 0.443 O
0.652 0.152 0.305 O
0.934 0.934 0.869 O
0.000 0.000 0.000 Tl
```

Calculated values
The crystal system is tetragonal. As for the space-group type: I4/mmm. As for the total energy: -22.52 eV per atom. The calculation puts the energy relative to the elements, uncorrected at -2258.3 meV/atom.

***

(4)
Here is MnZn2Pt at its PBEsol-relaxed geometry from Alexandria. Energies are from SCAN.

Geometry as POSCAR:
```
MnZn2Pt
1.0
2.698 -0.034 0.000
-0.421 4.763 0.000
-1.138 -2.365 4.334
Mn Zn Pt
1 2 1
direct
0.000 0.500 0.000 Mn
0.000 0.000 0.500 Zn
0.500 0.500 0.500 Zn
0.500 0.000 0.000 Pt
```

Calculated values
The crystal system is monoclinic. As for the space-group type: C2/m. As for the total energy: -29.22 eV per atom. The value obtained for the energy of formation from the pure elements is -1.39 eV per formula unit.

***

(5)
Here is Mn3RuRh at its PBEsol-relaxed geometry from Alexandria. Energies are from SCAN.

Geometry as POSCAR:
```
Mn3RuRh
1.0
4.392 0.000 0.000
0.000 4.392 0.000
0.000 0.000 4.392
Mn Rh Ru
3 1 1
direct
0.500 0.000 0.000 Mn
0.000 0.500 0.000 Mn
0.000 0.000 0.500 Mn
0.500 0.500 0.500 Rh
0.000 0.000 0.000 Ru
```

Calculated values
The crystal system is cubic. As for the space-group type: Pm-3m. As for the total energy: -23.61 eV per atom. The value obtained for the energy of formation from the pure elements is 5.34 eV per formula unit.

***

(6)
Here is BeOs2Ru at its PBEsol-relaxed geometry from Alexandria. Energies are from SCAN.

Geometry as POSCAR:
```
BeOs2Ru
1.0
-0.044 2.951 2.098
-3.448 0.608 -0.927
0.548 -3.953 2.445
Be Ru Os
1 1 2
direct
0.000 0.000 0.000 Be
0.500 0.500 0.000 Ru
0.750 0.250 0.500 Os
0.250 0.750 0.500 Os
```

Calculated values
The crystal system is tetragonal. As for the space-group type: I4/mmm. As for the total energy: -45.56 eV per atom. The value obtained for the energy of formation from the pure elements is 0.69 eV per formula unit.

***

(7)
Here is Cd2IrW at its PBEsol-relaxed geometry from Alexandria. Energies are from SCAN.

Geometry as POSCAR:
```
Cd2IrW
1.0
2.830 0.000 0.000
-1.415 4.551 -0.001
0.000 -0.685 5.235
Ir W Cd
1 1 2
direct
0.498 0.996 0.462 Ir
0.754 0.509 0.288 W
0.001 0.002 0.989 Cd
0.246 0.493 0.761 Cd
```

Calculated values
The crystal system is monoclinic. The calculation puts the distance to the lowest polymorph of the same formula at 0 meV per atom. As for the space-group type: Cm. As for the total energy: -50.07 eV per atom. The value obtained for the energy of formation from the pure elements is 1.33 eV per formula unit.

***

(8)
Here is LiY3Co at its PBEsol-relaxed geometry from Alexandria. Energies are from SCAN.

Geometry as POSCAR:
```
LiY3Co
1.0
5.170 0.000 0.000
0.000 5.170 0.000
0.000 0.000 5.170
Co Y Li
1 3 1
direct
0.000 0.000 0.000 Co
0.500 0.000 0.000 Y
0.000 0.500 0.000 Y
0.000 0.000 0.500 Y
0.500 0.500 0.500 Li
```

Calculated values
The crystal system is cubic. As for the space-group type: Pm-3m. As for the total energy: -20.62 eV per atom. The value obtained for the energy of formation from the pure elements is 0.12 eV per formula unit.

***

(9)
Here is ScAlIn2 at its PBEsol-relaxed geometry from Alexandria. Energies are from SCAN.

Geometry as POSCAR:
```
ScAlIn2
1.0
4.200 0.000 0.000
0.000 4.200 0.000
-2.100 -2.100 4.637
In Sc Al
2 1 1
direct
0.750 0.250 0.500 In
0.250 0.750 0.500 In
0.000 0.000 0.000 Sc
0.500 0.500 0.000 Al
```

Calculated values
The crystal system is tetragonal. As for the space-group type: I4/mmm. As for the total energy: -22.54 eV per atom. The value obtained for the energy of formation from the pure elements is -1.41 eV per formula unit.

***

(10)
Here is TbCdF6 at its PBEsol-relaxed geometry from Alexandria. Energies are from SCAN.

Geometry as POSCAR:
```
TbCdF6
1.0
-2.724 -3.443 2.828
4.455 -2.151 1.673
0.091 4.824 5.961
Cd F Tb
2 12 2
direct
0.000 0.000 0.500 Cd
0.000 0.000 0.000 Cd
0.730 0.163 0.825 F
0.270 0.837 0.825 F
0.270 0.837 0.175 F
0.163 0.270 0.675 F
0.640 0.291 0.500 F
0.837 0.730 0.675 F
0.163 0.270 0.325 F
0.730 0.163 0.175 F
0.837 0.730 0.325 F
0.709 0.640 0.000 F
0.291 0.360 0.000 F
0.360 0.709 0.500 F
0.500 0.500 0.250 Tb
0.500 0.500 0.750 Tb
```

Calculated values
The crystal system is tetragonal. As for the space-group type: P4_2/m. As for the total energy: -15.29 eV per atom. The calculation puts the energy relative to the elements, uncorrected at -2986.7 meV/atom.

***

(11)
Here is BaLi2Co at its PBEsol-relaxed geometry from Alexandria. Energies are from SCAN.

Geometry as POSCAR:
```
BaLi2Co
1.0
3.100 0.000 0.000
0.000 5.414 -0.125
0.000 -2.448 4.831
Li Co Ba
2 1 1
direct
0.000 0.500 0.000 Li
0.000 0.000 0.500 Li
0.500 0.500 0.500 Co
0.500 0.000 0.000 Ba
```

Calculated values
The crystal system is orthorhombic. The calculation puts the distance to the lowest polymorph of the same formula at 291 meV per atom. As for the space-group type: Cmmm. As for the total energy: -14.76 eV per atom. The value obtained for the energy of formation from the pure elements is 2.61 eV per formula unit.

***

(12)
Here is MoCSe2N at its PBEsol-relaxed geometry from Alexandria. Energies are from SCAN.

Geometry as POSCAR:
```
MoCSe2N
1.0
-1.773 2.349 -2.285
1.878 -2.361 -3.883
-3.896 -2.999 -0.061
C Mo Se N
1 1 2 1
direct
0.500 0.500 0.500 C
0.000 0.000 0.000 Mo
0.000 0.000 0.500 Se
0.000 0.500 0.000 Se
0.500 0.000 0.000 N
```

Calculated values
The crystal system is tetragonal. As for the space-group type: P4/mmm. As for the total energy: -17.41 eV per atom. The calculation puts the energy relative to the elements, uncorrected at 1473.4 meV/atom.